# 1
A relaxed structure of Zn2MoOs, computed with GGA-PBE.

Unit cell a=2.754 b=4.130 c=5.178 alpha=90.00 beta=90.00 gamma=90.00
Atoms (fractional coordinates):
Zn 0.000 0.000 0.995
Os 0.500 0.500 0.750
Mo 0.500 0.500 0.250
Zn 0.000 0.000 0.505

**Uncorrected energy**: -0.2142 hartree per atom
**Density of states at the Fermi level**: 4.44 states/eV/f.u.
**Energy of formation**: 0.323 eV per atom
**Space group**: No. 47
**ΔE to the lowest computed polymorph**: 1.10 eV per formula unit



# 2
A relaxed structure of HfZrSe2Br, computed with GGA-PBE.

Unit cell a=5.207 b=5.207 c=5.151 alpha=90.00 beta=90.00 gamma=90.00
Atoms (fractional coordinates):
Hf 0.500 0.500 0.500
Se 0.000 0.500 0.000
Br 0.000 0.000 0.500
Zr 0.000 0.000 0.000
Se 0.500 0.000 0.000

**Uncorrected energy**: -0.2011 hartree per atom
**Density of states at the Fermi level**: 5.12 states/eV/f.u.
**Formation energy without anion corrections**: -0.042 eV/atom
**Space group**: No. 123
**ΔE to the lowest computed polymorph**: 0.91 eV per formula unit